1.
First-principles (GGA-PBE) data for an optimized crystal structure of Hg2IrBr, as listed in the Alexandria database.

Cell and atoms, written as POSCAR:
```
Hg2IrBr
1.0
1.826 1.054 8.030
-1.826 1.054 8.030
0.000 -2.109 8.030
Hg Ir Br
2 1 1
Cartesian
0.000 0.000 5.803
0.000 0.000 18.287
0.000 0.000 12.045
0.000 0.000 0.000
```

Computed properties:
ΔE to the lowest computed polymorph in eV per atom: 0.140
E_form (uncorrected) in eV per atom: 0.450
Symmetry: R-3m, No. 166


2.
First-principles (GGA-PBE) data for an optimized crystal structure of NaCu4, as listed in the Alexandria database.

Cell and atoms, written as POSCAR:
```
NaCu4
1.0
4.483 0.000 0.000
0.000 4.483 0.000
0.000 0.000 4.483
Na Cu
1 4
Cartesian
0.000 0.000 0.000
0.000 0.000 2.242
0.000 2.242 0.000
2.242 0.000 0.000
2.242 2.242 2.242
```

Computed properties:
Formation energy from the elements in eV per formula unit: 6.921
Symmetry: Pm-3m, No. 221


3.
First-principles (GGA-PBE) data for an optimized crystal structure of LiTm3Sc3S8, as listed in the Alexandria database.

Cell and atoms, written as POSCAR:
```
LiTm3Sc3S8
1.0
3.742 2.160 6.133
-3.742 2.160 6.133
0.000 -4.321 6.133
Li Tm Sc S
1 3 3 8
Cartesian
0.000 0.000 0.000
-3.742 0.000 9.199
-1.871 1.080 3.066
1.871 1.080 3.066
-1.871 -1.080 6.133
-1.871 1.080 12.266
0.000 2.160 6.133
0.000 -2.149 7.608
-1.861 1.075 7.608
0.000 0.000 4.664
-1.861 -1.075 10.790
1.861 1.075 7.608
0.000 0.000 13.734
1.861 -1.075 10.790
0.000 2.149 10.790
```

Computed properties:
E_form (uncorrected) in eV per atom: -1.921
Symmetry: R-3m, No. 166


4.
First-principles (GGA-PBE) data for an optimized crystal structure of K2HgS, as listed in the Alexandria database.

Cell and atoms, written as POSCAR:
```
K2HgS
1.0
3.979 0.000 0.000
0.000 3.979 0.000
0.000 0.000 8.496
K Hg S
2 1 1
Cartesian
0.000 0.000 1.552
0.000 0.000 6.943
1.989 1.989 4.248
1.989 1.989 0.000
```

Computed properties:
ΔE to the lowest computed polymorph in eV per atom: 0.097
E_form (uncorrected) in eV per atom: -0.624
Symmetry: P4/mmm, No. 123


5.
First-principles (GGA-PBE) data for an optimized crystal structure of YRh4Pb, as listed in the Alexandria database.

Cell and atoms, written as POSCAR:
```
YRh4Pb
1.0
0.000 3.771 3.771
3.771 0.000 3.771
3.771 3.771 0.000
Y Rh Pb
1 4 1
Cartesian
0.000 0.000 0.000
2.832 2.832 2.832
4.710 4.710 2.832
4.710 2.832 4.710
2.832 4.710 4.710
5.657 5.657 5.657
```

Computed properties:
Formation energy from the elements in eV per formula unit: -2.307
Symmetry: F-43m, No. 216


6.
First-principles (GGA-PBE) data for an optimized crystal structure of MnFe2Ag, as listed in the Alexandria database.

Cell and atoms, written as POSCAR:
```
MnFe2Ag
1.0
2.624 0.000 0.000
0.000 3.706 0.000
0.000 0.000 5.435
Mn Fe Ag
1 2 1
Cartesian
0.000 0.000 0.000
1.312 1.853 1.192
1.312 1.853 4.243
0.000 0.000 2.718
```

Computed properties:
Formation energy from the elements in eV per formula unit: 1.404
ΔE to the lowest computed polymorph in eV per atom: 0.072
Symmetry: Pmmm, No. 47


| no. | VASP energy (eV for the cell shown) | magnetization (μB per atom) |
| --- | --- | --- |
| 1 | -9.34 | 0.000 |
| 2 | -10.78 | 0.000 |
| 3 | -96.16 | 0.000 |
| 4 | -9.12 | 0.017 |
| 5 | -41.89 | 0.000 |
| 6 | -27.54 | 0.522 |